This record from Alexandria via LeMat-Bulk describes an optimized crystal structure of Ca2BrN. The functional is GGA-PBE.

Calculated values
The value obtained for the size of the total moment is 0.000 μB per atom. The value obtained for the formation energy without anion corrections is -1240 meV/atom. The total energy is -4.740 eV/atom. The volume comes out at 24.9 Å³/atom.

Cell: 6.737 6.737 6.482 Å, 58.69 58.69 90.00°
Sites, in units of the cell vectors:
Br 0.000 0.000 0.000
Br 0.750 0.250 0.500
Ca 0.532 0.125 0.250
N 0.500 0.500 0.000
Ca 0.375 0.468 0.750
Ca 0.218 0.625 0.250
Ca 0.875 0.782 0.750
N 0.250 0.750 0.500